Entry from Alexandria: a relaxed structure of Cd2Hg3 (PBE-GGA).

Cell and atoms, written as CIF:
```
data_Cd2Hg3
_cell_length_a 10.0196
_cell_length_b 15.7149
_cell_length_c 6.4031
_cell_angle_alpha 90.00
_cell_angle_beta 90.00
_cell_angle_gamma 90.00
_space_group_name_H-M_alt 'F d d 2'
_space_group_IT_number 43
_space_group_name_Hall 'F 2 -2d'
loop_
_atom_site_label
_atom_site_type_symbol
_atom_site_fract_x
_atom_site_fract_y
_atom_site_fract_z
Cd1 Cd 0.0202 0.3009 0.0000
Hg1 Hg 0.0000 0.0000 0.4400
Hg2 Hg 0.0569 0.3995 0.4319
```

Calculated formation energy = 34 meV per atom
Excess energy over the best structure of this formula in the dataset = 11 meV/atom